! Re2WBr PBE-GGA optimized geometry; values from VASP
! Space-group type   I-4m2
! Energy relative to the lowest polymorph listed for this composition   3.204 eV per formula unit
! Crystal system   tetragonal
! Formation energy (no corrections)   136 kJ/mol of atoms
&SYSTEM
  ibrav = 0, nat = 8, ntyp = 3
/
ATOMIC_SPECIES
Re 186.21 Re.upf
W 183.84 W.upf
Br 79.90 Br.upf
ATOMIC_POSITIONS angstrom
Re 0.000 0.000 0.000
Re 0.000 1.933 2.167
Re 1.933 0.000 6.500
Re 1.933 1.933 4.333
W 0.000 1.933 6.500
W 1.933 0.000 2.167
Br 0.000 0.000 4.333
Br 1.933 1.933 0.000
CELL_PARAMETERS angstrom
3.865 0.000 0.000
0.000 3.865 0.000
0.000 0.000 8.666

---

! RbY2F PBE-GGA optimized geometry; values from VASP
! Space-group type   Fm-3m
! Energy relative to the lowest polymorph listed for this composition   4.168 eV per formula unit
! Crystal system   cubic
! Formation energy (no corrections)   29 kJ/mol of atoms
&SYSTEM
  ibrav = 0, nat = 16, ntyp = 3
/
ATOMIC_SPECIES
Rb 85.47 Rb.upf
Y 88.91 Y.upf
F 19.00 F.upf
ATOMIC_POSITIONS angstrom
Rb 0.000 0.000 0.000
Rb 0.000 4.014 4.014
Rb 4.014 0.000 4.014
Rb 4.014 4.014 0.000
Y 2.007 2.007 2.007
Y 2.007 2.007 6.022
Y 2.007 6.022 2.007
Y 2.007 6.022 6.022
Y 6.022 2.007 2.007
Y 6.022 2.007 6.022
Y 6.022 6.022 2.007
Y 6.022 6.022 6.022
F 0.000 0.000 4.014
F 0.000 4.014 0.000
F 4.014 0.000 0.000
F 4.014 4.014 4.014
CELL_PARAMETERS angstrom
8.029 0.000 0.000
0.000 8.029 0.000
0.000 0.000 8.029

---

! YCdIn4O8 PBE-GGA optimized geometry; values from VASP
! Space-group type   R3m
! Crystal system   trigonal
! Formation energy (no corrections)   -170 kJ/mol of atoms
&SYSTEM
  ibrav = 0, nat = 14, ntyp = 4
/
ATOMIC_SPECIES
Y 88.91 Y.upf
Cd 112.41 Cd.upf
In 114.82 In.upf
O 16.00 O.upf
ATOMIC_POSITIONS angstrom
Y 0.000 0.000 0.000
Cd 0.000 0.000 6.182
In 0.000 1.925 13.757
In 1.667 -0.963 13.757
In -1.667 -0.963 13.757
In 0.000 0.000 10.317
O -1.771 -1.023 9.538
O 0.000 0.000 3.884
O 0.000 -2.097 6.975
O -1.816 1.048 6.975
O 1.771 -1.023 9.538
O 0.000 2.045 9.538
O 0.000 0.000 12.587
O 1.816 1.048 6.975
CELL_PARAMETERS angstrom
3.316 1.915 5.512
-3.316 1.915 5.512
0.000 -3.829 5.512

---

! SbMo PBE-GGA optimized geometry; values from VASP
! Space-group type   Fm-3m
! Crystal system   cubic
! Formation energy (no corrections)   73 kJ/mol of atoms
&SYSTEM
  ibrav = 0, nat = 8, ntyp = 2
/
ATOMIC_SPECIES
Sb 121.76 Sb.upf
Mo 95.94 Mo.upf
ATOMIC_POSITIONS angstrom
Sb 0.000 0.000 0.000
Sb 0.000 2.767 2.767
Sb 2.767 0.000 2.767
Sb 2.767 2.767 0.000
Mo 0.000 0.000 2.767
Mo 0.000 2.767 0.000
Mo 2.767 0.000 0.000
Mo 2.767 2.767 2.767
CELL_PARAMETERS angstrom
5.535 0.000 0.000
0.000 5.535 0.000
0.000 0.000 5.535

---

! DyTh2ZnC PBE-GGA optimized geometry; values from VASP
! Space-group type   P4/mmm
! Crystal system   tetragonal
&SYSTEM
  ibrav = 0, nat = 5, ntyp = 4
/
ATOMIC_SPECIES
Dy 162.50 Dy.upf
Th 232.04 Th.upf
Zn 65.41 Zn.upf
C 12.01 C.upf
ATOMIC_POSITIONS angstrom
Dy 0.000 0.000 0.000
Th 0.000 2.520 2.445
Th 2.520 0.000 2.445
Zn 2.520 2.520 0.000
C 0.000 0.000 2.445
CELL_PARAMETERS angstrom
5.040 0.000 0.000
0.000 5.040 0.000
0.000 0.000 4.891

---

! TiSi2Pd PBE-GGA optimized geometry; values from VASP
! Space-group type   Fm-3m
! Crystal system   cubic
! Formation energy (no corrections)   -29 kJ/mol of atoms
&SYSTEM
  ibrav = 0, nat = 16, ntyp = 3
/
ATOMIC_SPECIES
Ti 47.87 Ti.upf
Si 28.09 Si.upf
Pd 106.42 Pd.upf
ATOMIC_POSITIONS angstrom
Ti 0.000 0.000 0.000
Ti 0.000 3.076 3.076
Ti 3.076 0.000 3.076
Ti 3.076 3.076 0.000
Si 1.538 1.538 1.538
Si 1.538 1.538 4.614
Si 1.538 4.614 1.538
Si 1.538 4.614 4.614
Si 4.614 1.538 1.538
Si 4.614 1.538 4.614
Si 4.614 4.614 1.538
Si 4.614 4.614 4.614
Pd 0.000 0.000 3.076
Pd 0.000 3.076 0.000
Pd 3.076 0.000 0.000
Pd 3.076 3.076 3.076
CELL_PARAMETERS angstrom
6.152 0.000 0.000
0.000 6.152 0.000
0.000 0.000 6.152

---

! DyThGa2Pt2 PBE-GGA optimized geometry; values from VASP
! Space-group type   P-3m1
! Crystal system   trigonal
&SYSTEM
  ibrav = 0, nat = 6, ntyp = 4
/
ATOMIC_SPECIES
Dy 162.50 Dy.upf
Th 232.04 Th.upf
Ga 69.72 Ga.upf
Pt 195.08 Pt.upf
ATOMIC_POSITIONS angstrom
Dy 0.000 0.000 0.000
Th 0.000 0.000 3.570
Ga 0.000 2.594 5.507
Ga 2.246 1.297 1.633
Pt 0.000 2.594 1.715
Pt 2.246 1.297 5.426
CELL_PARAMETERS angstrom
4.492 0.000 0.000
-2.246 3.890 0.000
0.000 0.000 7.141

---

! Hg2HCl PBE-GGA optimized geometry; values from VASP
! Space-group type   Fm-3m
! Energy relative to the lowest polymorph listed for this composition   1.823 eV per formula unit
! Crystal system   cubic
&SYSTEM
  ibrav = 0, nat = 16, ntyp = 3
/
ATOMIC_SPECIES
Hg 200.59 Hg.upf
H 1.01 H.upf
Cl 35.45 Cl.upf
ATOMIC_POSITIONS angstrom
Hg 1.735 1.735 1.735
Hg 1.735 1.735 5.205
Hg 1.735 5.205 1.735
Hg 1.735 5.205 5.205
Hg 5.205 1.735 1.735
Hg 5.205 1.735 5.205
Hg 5.205 5.205 1.735
Hg 5.205 5.205 5.205
H 0.000 0.000 0.000
H 0.000 3.470 3.470
H 3.470 0.000 3.470
H 3.470 3.470 0.000
Cl 0.000 0.000 3.470
Cl 0.000 3.470 0.000
Cl 3.470 0.000 0.000
Cl 3.470 3.470 3.470
CELL_PARAMETERS angstrom
6.940 0.000 0.000
0.000 6.940 0.000
0.000 0.000 6.940

---

Magnetization across the listed records, respectively: 0.00; 0.54; 0.00; 0.50; 0.00; 0.22; 0.00; 0.00 μB per atom.
VASP energy across the listed records, respectively: -67.74; -58.22; -82.71; -53.73; -30.80; -100.58; -36.42; -14.90 eV per cell.